## NbGaOs2Se (PBE)

Data for NbGaOs2Se after structural relaxation.

Lattice parameters (Å, degrees): 4.4757 4.4757 4.8827 90.00 90.00 90.00
Closest atoms and distances in Å follow each position.
Element x y z (fractional)
1 Nb 0.0000 0.0000 0.0000  4 Ga 3.16, 8 Os 3.31
2 Ga 0.5000 0.5000 0.0000  2 Se 2.44
3 Os 0.0000 0.5000 0.5000  2 Se 2.24
4 Os 0.5000 0.0000 0.5000  2 Se 2.24
5 Se 0.5000 0.5000 0.5000  4 Os 2.24, 2 Ga 2.44

total DFT energy (no corrections): -6.30 eV per atom
crystal system: tetragonal
size of the total moment: 0.5 μB per formula unit

## SrNbGaOs2 (PBE)

Data for SrNbGaOs2 after structural relaxation.

Lattice parameters (Å, degrees): 4.8658 4.8658 4.9643 90.00 90.00 90.00
Closest atoms and distances in Å follow each position.
Element x y z (fractional)
1 Sr 0.0000 0.0000 0.0000  4 Os 2.43, 2 Nb 2.48
2 Nb 0.0000 0.0000 0.5000  2 Sr 2.48
3 Ga 0.5000 0.5000 0.5000  4 Nb 3.44, 8 Os 3.48
4 Os 0.0000 0.5000 0.0000  2 Sr 2.43
5 Os 0.5000 0.0000 0.0000  2 Sr 2.43

total DFT energy (no corrections): -4.35 eV per atom
excess energy over the best structure of this formula in the dataset: 1568 meV per atom
crystal system: tetragonal
size of the total moment: 1.4 μB per formula unit
energy relative to the elements: 71.4 kcal/mol of atoms

## SrNbGaOs2 (PBE)

Data for SrNbGaOs2 after structural relaxation.

Lattice parameters (Å, degrees): 4.6511 4.6511 5.0157 90.00 90.00 90.00
Closest atoms and distances in Å follow each position.
Element x y z (fractional)
1 Sr 0.0000 0.0000 0.0000  2 Ga 2.51
2 Nb 0.5000 0.5000 0.0000  4 Sr 3.29, 8 Os 3.42
3 Ga 0.0000 0.0000 0.5000  4 Os 2.33, 2 Sr 2.51
4 Os 0.0000 0.5000 0.5000  2 Ga 2.33
5 Os 0.5000 0.0000 0.5000  2 Ga 2.33

total DFT energy (no corrections): -5.92 eV per atom
excess energy over the best structure of this formula in the dataset: 0 meV per atom
crystal system: tetragonal
size of the total moment: 1.6 μB per formula unit
energy relative to the elements: 35.2 kcal/mol of atoms

## TaNbGaOs (PBE)

Data for TaNbGaOs after structural relaxation.

Lattice parameters (Å, degrees): 4.5181 4.5181 4.5181 60.00 60.00 60.00
Closest atoms and distances in Å follow each position.
Element x y z (fractional)
1 Ta 0.0000 0.0000 0.0000  4 Nb 2.77, 4 Os 2.77
2 Nb 0.7500 0.7500 0.7500  4 Ga 2.77, 4 Ta 2.77
3 Ga 0.5000 0.5000 0.5000  4 Nb 2.77, 4 Os 2.77
4 Os 0.2500 0.2500 0.2500  4 Ta 2.77, 4 Ga 2.77

total DFT energy (no corrections): -9.11 eV per atom
crystal system: cubic
size of the total moment: 0.6 μB per formula unit
energy relative to the elements: -1.6 kcal/mol of atoms